VASP calculation (PBE) on PrTlBi2O6 after structural relaxation.

abc: 6.1350 6.1357 6.2453
angles: 60.58 60.59 59.98
Last column: nearest neighbours and their distance in Å.
Fractional positions:
Bi (0.0213, 0.0213, 0.9358)  6 O 2.33-2.49
Bi (0.5189, 0.5192, 0.4428)  3 O 2.28
O (0.6897, 0.1409, 0.7429)  2 Bi 2.28-2.49, 1 Pr 2.34, 1 Tl 2.44
O (0.4266, 0.6896, 0.7427)  2 Bi 2.28-2.49, 1 Pr 2.34, 1 Tl 2.44
O (0.9463, 0.6270, 0.2418)  1 Tl 2.26, 1 Bi 2.33, 1 Pr 2.50
O (0.6269, 0.1850, 0.2418)  1 Tl 2.26, 1 Bi 2.33, 1 Pr 2.50
O (0.1851, 0.9461, 0.2420)  1 Tl 2.26, 1 Bi 2.33, 1 Pr 2.50
O (0.1411, 0.4266, 0.7427)  2 Bi 2.28-2.49, 1 Pr 2.34, 1 Tl 2.44
Pr (0.8014, 0.8016, 0.5955)  6 O 2.34-2.50
Tl (0.3043, 0.3042, 0.0871)  6 O 2.26-2.44

- E_tot (eV per atom) = -6.040
- total magnetization (μB per formula unit) = 0.0
- formation energy (no corrections) (eV per formula unit) = -15.74